Pm4PrSmEr2: optimized geometry, GGA-PBE.

Cell lengths 3.626, 6.253, 12.004 Å; angles 79.92, 90.00, 90.00 degrees
Fractional coordinates of all 8 atoms:
1 Pm 0.500 0.750 0.250
2 Pm 0.500 0.250 0.750
3 Pm 0.000 0.247 0.253
4 Sm 0.000 0.500 0.500
5 Er 0.500 0.000 0.500
6 Er 0.000 0.000 0.000
7 Pm 0.000 0.753 0.747
8 Pr 0.500 0.500 0.000

Output
Magnetization ... 0.000 μB per cell
Formation enthalpy at 0 K ... 0.14 eV/f.u.

---

Ce6ErAs8: optimized geometry, GGA-PBE.

Cell lengths 8.373, 8.373, 8.373 Å; angles 60.00, 60.00, 60.00 degrees
Site moments in Bohr magnetons follow the coordinates.
Fractional coordinates of all 15 atoms:
1 Ce 0.000 0.500 0.500  0.45
2 As 0.246 0.754 0.246  -0.03
3 As 0.750 0.750 0.750  -0.03
4 As 0.754 0.246 0.754  -0.03
5 As 0.754 0.754 0.246  -0.03
6 As 0.246 0.246 0.754  -0.03
7 As 0.246 0.754 0.754  -0.03
8 Ce 0.000 0.500 0.000  0.45
9 Ce 0.500 0.000 0.000  0.45
10 Ce 0.500 0.500 0.000  0.45
11 Ce 0.000 0.000 0.500  0.45
12 Er 0.000 0.000 0.000  -0.02
13 As 0.250 0.250 0.250  -0.03
14 As 0.754 0.246 0.246  -0.03
15 Ce 0.500 0.000 0.500  0.45

Output
Magnetization ... 2.851 μB per cell
Formation enthalpy at 0 K ... -18.44 eV/f.u.

---

LaZnGa3: optimized geometry, GGA-PBE.

Cell lengths 4.856, 4.856, 4.856 Å; angles 90.00, 90.00, 90.00 degrees
Fractional coordinates of all 5 atoms:
1 Ga 0.500 0.000 0.000
2 Ga 0.000 0.500 0.000
3 Zn 0.000 0.000 0.000
4 Ga 0.000 0.000 0.500
5 La 0.500 0.500 0.500

Output
Magnetization ... 0.000 μB per cell
Formation enthalpy at 0 K ... -0.64 eV/f.u.

---

KCaSe: optimized geometry, GGA-PBE.

Cell lengths 7.928, 7.927, 3.879 Å; angles 75.85, 75.83, 28.32 degrees
Fractional coordinates of all 3 atoms:
1 Ca 0.062 0.062 0.938
2 Se 0.636 0.636 0.364
3 K 0.302 0.302 0.698

Output
Magnetization ... 0.000 μB per cell
Formation energy from raw total energies ... -1.087 eV per atom
Distance to the lowest polymorph of the same formula ... 11 kJ/mol of formula units

---

- The highest magnetization belongs to which entry?
  Ce6ErAs8